Entry 1:
Crystalline Na2NpUS6 at its relaxed geometry, computed with PBE-GGA.

Cell lengths 6.8142, 7.2317, 9.9603 Å; angles 90.00, 89.89, 90.00 degrees
Closest atoms and distances in Å follow each position.
Element x y z (fractional)
Na (0.0237, 0.9260, 0.2501)  6 S 2.94-3.19
Na (0.5237, 0.5740, 0.7501)  6 S 2.94-3.19
Na (0.9763, 0.0740, 0.7499)  6 S 2.94-3.19
Na (0.4763, 0.4260, 0.2499)  6 S 2.94-3.19
Np (0.5000, 0.0000, 0.5000)  6 S 2.63-2.64
Np (0.0000, 0.5000, 0.0000)  6 S 2.63-2.64
U (0.5000, 0.0000, 0.0000)  6 S 2.57-2.58
U (0.0000, 0.5000, 0.5000)  6 S 2.57-2.58
S (0.3099, 0.7011, 0.0578)  1 U 2.58, 1 Np 2.63
S (0.8099, 0.7989, 0.5578)  1 U 2.58, 1 Np 2.63
S (0.6901, 0.2989, 0.9422)  1 U 2.58, 1 Np 2.63
S (0.1901, 0.2011, 0.4422)  1 U 2.58, 1 Np 2.63
S (0.3041, 0.6950, 0.4433)  1 U 2.57, 1 Np 2.64
S (0.8041, 0.8050, 0.9433)  1 U 2.57, 1 Np 2.64
S (0.6959, 0.3050, 0.5567)  1 U 2.57, 1 Np 2.64
S (0.1959, 0.1950, 0.0567)  1 U 2.57, 1 Np 2.64
S (0.8924, 0.5328, 0.2530)  1 U 2.58, 1 Np 2.63
S (0.3924, 0.9672, 0.7530)  1 U 2.58, 1 Np 2.63
S (0.1076, 0.4672, 0.7470)  1 U 2.58, 1 Np 2.63
S (0.6076, 0.0328, 0.2470)  1 U 2.58, 1 Np 2.63

## Properties
volume	490.8	Å³/cell
N(E_F)	14.58	states/eV/f.u.
symmetry	P2_1/c
total DFT energy (no corrections)	-63.32	eV per formula unit

=====

Entry 2:
Crystalline Na3Np3VS8 at its relaxed geometry, computed with PBE-GGA.

Cell lengths 7.7386, 7.7362, 8.1172 Å; angles 118.46, 90.00, 120.01 degrees
Closest atoms and distances in Å follow each position.
Element x y z (fractional)
Na (0.0000, 0.0000, 0.0000)  6 S 2.88-2.92
Na (0.0000, 0.5000, 0.0000)  6 S 2.88-2.92
Na (0.5000, 0.5000, 0.0000)  6 S 2.88-2.92
Np (0.5000, 0.0000, 0.5000)  6 S 2.72-2.73
Np (0.5000, 0.5000, 0.5000)  6 S 2.71-2.73
Np (0.0000, 0.5000, 0.5000)  6 S 2.71-2.73
V (0.0000, 0.0000, 0.5000)  6 S 2.53-2.54
S (0.2562, 0.5123, 0.2687)  3 Np 2.73, 3 Na 2.88
S (0.7438, 0.4877, 0.7313)  3 Np 2.73, 3 Na 2.88
S (0.7732, 0.5464, 0.2889)  1 V 2.54, 2 Np 2.71
S (0.2268, 0.4536, 0.7111)  1 V 2.54, 2 Np 2.71
S (0.7734, 0.0148, 0.2888)  1 V 2.53, 2 Np 2.72
S (0.2266, 0.9852, 0.7112)  1 V 2.53, 2 Np 2.72
S (0.2414, 0.0148, 0.2888)  1 V 2.53, 2 Np 2.72
S (0.7586, 0.9852, 0.7112)  1 V 2.53, 2 Np 2.72

## Properties
volume	351.3	Å³/cell
N(E_F)	29.53	states/eV/f.u.
symmetry	R-3m
total DFT energy (no corrections)	-103.98	eV per formula unit

=====

Entry 3:
Crystalline Na3Np2VS6 at its relaxed geometry, computed with PBE-GGA.

Cell lengths 6.6726, 6.6726, 7.0582 Å; angles 99.10, 99.10, 120.03 degrees
Closest atoms and distances in Å follow each position.
Element x y z (fractional)
Na (0.1677, 0.8323, 0.5000)  6 S 2.86-2.99
Na (0.8323, 0.1677, 0.5000)  6 S 2.86-2.99
Na (0.5000, 0.5000, 0.5000)  6 S 2.86-3.01
Np (0.3333, 0.6667, 0.0000)  6 S 2.72-2.73
Np (0.6667, 0.3333, 0.0000)  6 S 2.72-2.73
V (0.0000, 0.0000, 0.0000)  6 S 2.56-2.57
S (0.9261, 0.6116, 0.7786)  1 V 2.57, 2 Np 2.73, 2 Na 2.86
S (0.7593, 0.7593, 0.2196)  1 V 2.56, 2 Np 2.72
S (0.0739, 0.3884, 0.2214)  1 V 2.57, 2 Np 2.73, 2 Na 2.86
S (0.6116, 0.9261, 0.7786)  1 V 2.57, 2 Np 2.73, 2 Na 2.86
S (0.2407, 0.2407, 0.7804)  1 V 2.56, 2 Np 2.72
S (0.3884, 0.0739, 0.2214)  1 V 2.57, 2 Np 2.73, 2 Na 2.86

## Properties
volume	258.1	Å³/cell
N(E_F)	22.42	states/eV/f.u.
symmetry	C2/m
total DFT energy (no corrections)	-78.71	eV per formula unit

=====

Entry 4:
Crystalline NaY4NpS8 at its relaxed geometry, computed with PBE-GGA.

Cell lengths 8.1073, 8.1073, 8.1559 Å; angles 60.20, 60.20, 60.00 degrees
Closest atoms and distances in Å follow each position.
Element x y z (fractional)
Na (0.3748, 0.3748, 0.8757)  4 S 2.71-2.72
Y (0.6257, 0.6257, 0.1230)  4 S 2.64-2.66
Y (0.0048, 0.4878, 0.5025)  6 S 2.70-2.84
Y (0.4878, 0.0048, 0.5025)  6 S 2.70-2.84
Y (0.0048, 0.0048, 0.5025)  6 S 2.70-2.84
Np (0.0031, 0.0031, 0.9908)  6 S 2.73-2.86
S (0.2396, 0.7842, 0.7365)  2 Y 2.70, 1 Na 2.71, 1 Np 2.73
S (0.7842, 0.2396, 0.7365)  2 Y 2.70, 1 Na 2.71, 1 Np 2.73
S (0.2396, 0.2396, 0.7365)  2 Y 2.70, 1 Na 2.71, 1 Np 2.73
S (0.2393, 0.2393, 0.2822)  3 Y 2.70, 1 Na 2.72
S (0.7554, 0.2272, 0.2621)  3 Y 2.64-2.82, 1 Np 2.86
S (0.2272, 0.7554, 0.2621)  3 Y 2.64-2.82, 1 Np 2.86
S (0.7554, 0.7554, 0.2621)  3 Y 2.64-2.82, 1 Np 2.86
S (0.7583, 0.7583, 0.7251)  4 Y 2.66-2.84

## Properties
volume	380.2	Å³/cell
N(E_F)	5.04	states/eV/f.u.
symmetry	R3m
total DFT energy (no corrections)	-98.52	eV per formula unit

=====

Entry 5:
Crystalline Na4YNp3S8 at its relaxed geometry, computed with PBE-GGA.

Cell lengths 8.0305, 8.1140, 8.0306 Å; angles 119.67, 120.00, 90.00 degrees
Closest atoms and distances in Å follow each position.
Element x y z (fractional)
Na (0.5000, 0.0000, 0.0000)  6 S 2.95
Na (0.5000, 0.0000, 0.5000)  6 S 2.94-2.96
Na (0.0000, 0.0000, 0.0000)  6 S 2.94-2.96
Na (0.0000, 0.0000, 0.5000)  6 S 2.94-2.96
Y (0.0000, 0.5000, 0.0000)  6 S 2.77
Np (0.5000, 0.5000, 0.0000)  6 S 2.76-2.77
Np (0.5000, 0.5000, 0.5000)  6 S 2.76-2.78
Np (0.0000, 0.5000, 0.5000)  6 S 2.76-2.78
S (0.2424, 0.7281, 0.9861)  1 Y 2.77, 2 Np 2.77-2.78, 3 Na 2.94-2.95
S (0.2423, 0.7281, 0.4846)  1 Y 2.77, 2 Np 2.77, 3 Na 2.94-2.95
S (0.2586, 0.2760, 0.5173)  3 Np 2.76, 3 Na 2.96
S (0.7437, 0.7281, 0.9861)  1 Y 2.77, 2 Np 2.77-2.78, 3 Na 2.94-2.95
S (0.2563, 0.2719, 0.0139)  1 Y 2.77, 2 Np 2.77-2.78, 3 Na 2.94-2.95
S (0.7414, 0.7240, 0.4827)  3 Np 2.76, 3 Na 2.96
S (0.7577, 0.2719, 0.5154)  1 Y 2.77, 2 Np 2.77, 3 Na 2.94-2.95
S (0.7576, 0.2719, 0.0139)  1 Y 2.77, 2 Np 2.77-2.78, 3 Na 2.94-2.95

## Properties
volume	371.8	Å³/cell
N(E_F)	28.79	states/eV/f.u.
symmetry	R-3m
total DFT energy (no corrections)	-107.15	eV per formula unit

=====

Entry 6:
Crystalline NaY2NpS4 at its relaxed geometry, computed with PBE-GGA.

Cell lengths 3.9303, 6.8525, 6.8509 Å; angles 70.59, 90.00, 90.00 degrees
Closest atoms and distances in Å follow each position.
Element x y z (fractional)
Na (0.5000, 0.5000, 0.0000)  6 S 2.81-2.82
Y (0.0000, 0.0000, 0.0000)  6 S 2.78-2.79
Y (0.5000, 0.0000, 0.5000)  6 S 2.76-2.78
Np (0.0000, 0.5000, 0.5000)  6 S 2.79-2.81
S (0.0000, 0.7573, 0.7458)  3 Y 2.76-2.78, 1 Np 2.81, 2 Na 2.82
S (0.0000, 0.2427, 0.2542)  3 Y 2.76-2.78, 1 Np 2.81, 2 Na 2.82
S (0.5000, 0.7519, 0.2511)  3 Y 2.78-2.79, 2 Np 2.79, 1 Na 2.81
S (0.5000, 0.2481, 0.7489)  3 Y 2.78-2.79, 2 Np 2.79, 1 Na 2.81

## Properties
volume	174.0	Å³/cell
N(E_F)	12.48	states/eV/f.u.
symmetry	P2/m
total DFT energy (no corrections)	-57.52	eV per formula unit